Compound: Tl3C
Source: Alexandria via LeMat-Bulk
Functional: GGA-PBE
Structure: optimized geometry

Formation enthalpy at 0 K   1.468 eV/atom
Energy above the most stable polymorph in this dataset   0.883 eV per atom

Unit cell a=9.3628 b=9.3628 c=4.0899 alpha=90.00 beta=90.00 gamma=120.00
Closest atoms and distances in Å follow each position.
Space group R-3m (No. 166, hexagonal axes)
Asymmetric unit:
Tl1 0.0000 0.5000 0.0000 (multiplicity 9)  4 Tl 3.03, 2 C 3.03
C1 0.0000 0.0000 0.0000 (multiplicity 3)  6 Tl 3.03


Compound: Ce3Pm2TmS6
Source: Alexandria via LeMat-Bulk
Functional: GGA-PBE
Structure: optimized geometry

Uncorrected formation energy   -24.32 eV per formula unit

Unit cell a=6.9175 b=11.9859 c=6.9476 alpha=90.00 beta=109.44 gamma=90.00
Closest atoms and distances in Å follow each position.
Space group C2/m (No. 12)
Asymmetric unit:
Ce1 0.0000 0.0000 0.0000 (multiplicity 2)  6 S 2.83-2.90
Ce2 0.0000 0.3297 0.0000 (multiplicity 4)  6 S 2.83-2.88
Pm1 0.0000 0.1664 0.5000 (multiplicity 4)  6 S 2.83-2.84
Tm1 0.0000 0.5000 0.5000 (multiplicity 2)  6 S 2.74-2.76
S1 0.2410 0.5000 0.2538 (multiplicity 4)  1 Tm 2.76, 2 Pm 2.84, 3 Ce 2.85-2.90
S2 0.2423 0.3383 0.7423 (multiplicity 8)  1 Tm 2.74, 2 Pm 2.83, 3 Ce 2.83-2.88


Compound: Cu2AuSe2
Source: Alexandria via LeMat-Bulk
Functional: GGA-PBE
Structure: optimized geometry

Uncorrected formation energy   0.75 eV per formula unit
Energy above the most stable polymorph in this dataset   0.135 eV per atom

Unit cell a=3.6468 b=3.6468 c=13.9445 alpha=90.00 beta=90.00 gamma=90.00
Closest atoms and distances in Å follow each position.
Space group I4/mmm (No. 139)
Asymmetric unit:
Cu1 0.0000 0.5000 0.2500 (multiplicity 4)  4 Se 2.49, 4 Cu 2.58
Au1 0.0000 0.0000 0.0000 (multiplicity 2)  8 Se 3.14
Se1 0.0000 0.0000 0.3714 (multiplicity 4)  4 Cu 2.49


Compound: CeHf2B
Source: Alexandria via LeMat-Bulk
Functional: GGA-PBE
Structure: optimized geometry

Formation enthalpy at 0 K   -0.050 eV/atom

Unit cell a=3.3004 b=3.3004 c=26.9798 alpha=90.00 beta=90.00 gamma=120.00
Closest atoms and distances in Å follow each position.
Space group R-3m (No. 166, hexagonal axes)
Asymmetric unit:
Ce1 0.0000 0.0000 0.0000 (multiplicity 3)  2 Hf 3.19, 6 Ce 3.30
Hf1 0.0000 0.0000 0.1183 (multiplicity 6)  3 B 2.31
B1 0.0000 0.0000 0.5000 (multiplicity 3)  6 Hf 2.31


Compound: Dy11Mg9Ag4
Source: Alexandria via LeMat-Bulk
Functional: GGA-PBE
Structure: optimized geometry

Formation enthalpy at 0 K   -0.156 eV/atom

Unit cell a=14.9488 b=22.6464 c=3.7018 alpha=90.00 beta=90.00 gamma=90.00
Closest atoms and distances in Å follow each position.
Space group Cmmm (No. 65)
Asymmetric unit:
Dy1 0.0000 0.0000 0.0000 (multiplicity 2)  8 Mg 3.25, 2 Dy 3.62
Dy2 0.0000 0.1600 0.0000 (multiplicity 4)  8 Mg 3.32-3.38, 5 Dy 3.62-3.70
Dy3 0.0000 0.3624 0.0000 (multiplicity 4)  4 Ag 3.03
Dy4 0.2114 0.5000 0.0000 (multiplicity 4)  4 Ag 3.03, 4 Mg 3.37
Dy5 0.2420 0.1721 0.0000 (multiplicity 8)  2 Ag 2.99, 4 Mg 3.27-3.31
Mg1 0.0000 0.5000 0.5000 (multiplicity 2)  4 Ag 3.13
Mg2 0.1075 0.2587 0.5000 (multiplicity 8)  1 Mg 3.21, 8 Dy 3.31-3.39, 1 Ag 3.31
Mg3 0.1380 0.0749 0.5000 (multiplicity 8)  1 Ag 3.24, 8 Dy 3.25-3.38, 1 Mg 3.39
Ag1 0.1482 0.4024 0.5000 (multiplicity 8)  6 Dy 2.99-3.03, 3 Mg 3.13-3.31


Compound: NdGd2Fe
Source: Alexandria via LeMat-Bulk
Functional: GGA-PBE
Structure: optimized geometry

Formation enthalpy at 0 K   0.342 eV/atom
Energy above the most stable polymorph in this dataset   0.263 eV per atom

Unit cell a=3.5241 b=3.5241 c=31.8547 alpha=90.00 beta=90.00 gamma=120.00
Closest atoms and distances in Å follow each position.
Space group R-3m (No. 166, hexagonal axes)
Asymmetric unit:
Nd1 0.0000 0.0000 0.0000 (multiplicity 3)  2 Gd 3.49, 6 Nd 3.52
Gd1 0.0000 0.0000 0.1094 (multiplicity 6)  3 Fe 2.73
Fe1 0.0000 0.0000 0.5000 (multiplicity 3)  6 Gd 2.73